Material: Ca5Pm
Method: DFT, GGA-PBE
State: optimized geometry

Unit cell a=6.1296 b=18.4319 c=4.2116 alpha=90.00 beta=90.00 gamma=90.00
Closest atoms and distances in Å follow each position.
Space group Cmmm (No. 65)
Inequivalent atoms, fractional coordinates:
Ca1 0.0000 0.0000 0.0000 (multiplicity 2)  4 Ca 3.70, 4 Pm 3.72
Ca2 0.0000 0.1652 0.5000 (multiplicity 4)  8 Ca 3.70-3.81
Ca3 0.0000 0.3376 0.0000 (multiplicity 4)  2 Pm 3.66, 6 Ca 3.72-3.81
Pm1 0.0000 0.5000 0.5000 (multiplicity 2)  8 Ca 3.66-3.72

## Properties
**Energy above the lowest structure with this stoichiometry**: 23.0 meV per atom
**Formation energy from the elements**: 0.07 eV per atom
**D(E_F)**: 8.42 states/eV/f.u.
**Total magnetic moment**: 0.00 μB/atom